VASP calculation (PBE) on an optimized crystal structure of KHf.

abc: 8.2901 8.2901 8.2901
angles: 90.00 90.00 90.00
Space group F-43m (No. 216)
Asymmetric unit:
K 0.0000 0.0000 0.0000 [4 per cell]
Hf 0.2500 0.2500 0.7500 [4 per cell]

- energy relative to the lowest polymorph listed for this composition (meV/atom) = 2364
- formation energy from the elements (meV per atom) = 2874

=====

VASP calculation (PBE) on an optimized crystal structure of Nd8BeS3Br4.

abc: 8.2266 8.2266 22.0054
angles: 90.00 90.00 120.00
Space group R-3m (No. 166, hexagonal axes)
Asymmetric unit:
Nd 0.0000 0.0000 0.2324 [6 per cell]
Nd 0.0062 0.5031 0.2335 [18 per cell]
Be 0.0000 0.0000 0.5000 [3 per cell]
S 0.0000 0.5000 0.5000 [9 per cell]
Br 0.0000 0.0000 0.0000 [3 per cell]
Br 0.0000 0.5000 0.0000 [9 per cell]

- uncorrected formation energy (meV/atom) = -1364

=====

VASP calculation (PBE) on an optimized crystal structure of Li2CaAg2Sb2.

abc: 4.6934 4.6934 24.4020
angles: 90.00 90.00 120.00
Space group R-3m (No. 166, hexagonal axes)
Asymmetric unit:
Li 0.0000 0.0000 0.1386 [6 per cell]
Ca 0.0000 0.0000 0.0000 [3 per cell]
Ag 0.0000 0.0000 0.4358 [6 per cell]
Sb 0.0000 0.0000 0.2552 [6 per cell]

- uncorrected formation energy (meV/atom) = -553

=====

VASP calculation (PBE) on an optimized crystal structure of Ag2RhPb.

abc: 11.2410 3.2832 4.5150
angles: 90.00 113.52 90.00
Space group C2/m (No. 12)
Asymmetric unit:
Ag 0.2314 0.0000 0.2314 [4 per cell]
Rh 0.0000 0.5000 0.0000 [2 per cell]
Pb 0.0000 0.0000 0.5000 [2 per cell]

- formation energy from the elements (meV per atom) = 116

=====

VASP calculation (PBE) on an optimized crystal structure of LiZnNi3.

abc: 6.8849 6.8849 8.3587
angles: 90.00 90.00 120.00
Space group R3c (No. 161, hexagonal axes)
Asymmetric unit:
Li 0.0000 0.0000 0.0000 [6 per cell]
Zn 0.0000 0.0000 0.2500 [6 per cell]
Ni 0.0002 0.3434 0.2518 [18 per cell]

- energy relative to the lowest polymorph listed for this composition (meV/atom) = 0
- formation energy from the elements (meV per atom) = 169

=====

VASP calculation (PBE) on an optimized crystal structure of CsSrInBr4.

abc: 5.9634 5.9634 17.8223
angles: 90.00 90.00 90.00
Space group I4mm (No. 107)
Asymmetric unit:
Cs 0.0000 0.0000 0.0000 [2 per cell]
Sr 0.0000 0.0000 0.3611 [2 per cell]
In 0.0000 0.0000 0.7041 [2 per cell]
Br 0.0000 0.0000 0.1949 [2 per cell]
Br 0.0000 0.0000 0.5419 [2 per cell]
Br 0.0000 0.5000 0.3720 [4 per cell]

- uncorrected formation energy (meV/atom) = -1562

=====

VASP calculation (PBE) on an optimized crystal structure of Ag7Hg3Au2.

abc: 4.8999 20.7827 4.9896
angles: 90.00 90.00 90.00
Space group Cmmm (No. 65)
Asymmetric unit:
Ag 0.0000 0.0000 0.0000 [2 per cell]
Ag 0.0000 0.0753 0.5000 [4 per cell]
Ag 0.0000 0.2819 0.0000 [4 per cell]
Ag 0.0000 0.4258 0.0000 [4 per cell]
Hg 0.0000 0.3423 0.5000 [4 per cell]
Hg 0.0000 0.5000 0.5000 [2 per cell]
Au 0.0000 0.1457 0.0000 [4 per cell]

- formation energy from the elements (meV per atom) = 106

=====

VASP calculation (PBE) on an optimized crystal structure of Cs3RbSe.

abc: 7.2098 7.2098 7.2098
angles: 90.00 90.00 90.00
Space group Pm-3m (No. 221)
Asymmetric unit:
Cs 0.0000 0.0000 0.5000 [3 per cell]
Rb 0.5000 0.5000 0.5000 [1 per cell]
Se 0.0000 0.0000 0.0000 [1 per cell]

- energy relative to the lowest polymorph listed for this composition (meV/atom) = 0
- uncorrected formation energy (meV/atom) = -569

=====

VASP calculation (PBE) on an optimized crystal structure of PuPt5.

abc: 7.5299 7.5299 7.5299
angles: 90.00 90.00 90.00
Space group F-43m (No. 216)
Asymmetric unit:
Pu 0.0000 0.0000 0.0000 [4 per cell]
Pt 0.1246 0.1246 0.3754 [16 per cell]
Pt 0.2500 0.2500 0.7500 [4 per cell]

- formation energy from the elements (meV per atom) = -471

=====

VASP calculation (PBE) on an optimized crystal structure of La4MnIn.

abc: 9.1893 9.1893 9.1893
angles: 90.00 90.00 90.00
Space group F-43m (No. 216)
Asymmetric unit:
La 0.1253 0.1253 0.1253 [16 per cell]
Mn 0.2500 0.2500 0.7500 [4 per cell]
In 0.0000 0.0000 0.5000 [4 per cell]

- energy relative to the lowest polymorph listed for this composition (meV/atom) = 507
- formation energy from the elements (meV per atom) = 414

=====

VASP calculation (PBE) on an optimized crystal structure of La3ReSn.

abc: 5.5047 5.5047 5.5047
angles: 90.00 90.00 90.00
Space group Pm-3m (No. 221)
Asymmetric unit:
La 0.0000 0.0000 0.5000 [3 per cell]
Re 0.0000 0.0000 0.0000 [1 per cell]
Sn 0.5000 0.5000 0.5000 [1 per cell]

- energy relative to the lowest polymorph listed for this composition (meV/atom) = 0
- formation energy from the elements (meV per atom) = -121

=====

VASP calculation (PBE) on an optimized crystal structure of Ga5Ni12P2.

abc: 12.8976 7.7267 5.1207
angles: 90.00 110.10 90.00
Space group C2/m (No. 12)
Asymmetric unit:
Ga 0.0000 0.0000 0.0000 [2 per cell]
Ga 0.2145 0.5000 0.1281 [4 per cell]
Ga 0.2359 0.0000 0.3273 [4 per cell]
Ni 0.0289 0.5000 0.7785 [4 per cell]
Ni 0.0927 0.0000 0.5030 [4 per cell]
Ni 0.1062 0.2644 0.2203 [8 per cell]
Ni 0.1705 0.2616 0.7826 [8 per cell]
P 0.0000 0.2592 0.5000 [4 per cell]

- formation energy from the elements (meV per atom) = -277

=====

VASP calculation (PBE) on an optimized crystal structure of CePuCdRu.

abc: 3.2727 3.2727 8.6824
angles: 90.00 90.00 90.00
Space group P4mm (No. 99)
Asymmetric unit:
Ce 0.0000 0.0000 0.0000 [1 per cell]
Pu 0.0000 0.0000 0.5882 [1 per cell]
Cd 0.5000 0.5000 0.2982 [1 per cell]
Ru 0.5000 0.5000 0.7943 [1 per cell]

- energy relative to the lowest polymorph listed for this composition (meV/atom) = 0
- formation energy from the elements (meV per atom) = -185

=====

VASP calculation (PBE) on an optimized crystal structure of LiTlRh2.

abc: 4.0696 4.0696 7.6479
angles: 90.00 90.00 90.00
Space group I-4m2 (No. 119)
Asymmetric unit:
Li 0.0000 0.0000 0.0000 [2 per cell]
Tl 0.0000 0.5000 0.7500 [2 per cell]
Rh 0.0000 0.0000 0.5000 [2 per cell]
Rh 0.0000 0.5000 0.2500 [2 per cell]

- formation energy from the elements (meV per atom) = -22

=====

VASP calculation (PBE) on an optimized crystal structure of Tb3ErHg2.

abc: 5.1386 9.2624 7.0193
angles: 90.00 90.00 90.00
Space group Pmc2_1 (No. 26)
Asymmetric unit:
Tb 0.0000 0.0536 0.0000 [2 per cell]
Tb 0.0000 0.3275 0.3414 [2 per cell]
Tb 0.5000 0.1757 0.6873 [2 per cell]
Er 0.5000 0.4463 0.0298 [2 per cell]
Hg 0.0000 0.3499 0.7800 [2 per cell]
Hg 0.5000 0.1508 0.2495 [2 per cell]

- energy relative to the lowest polymorph listed for this composition (meV/atom) = 0
- formation energy from the elements (meV per atom) = -358

=====

VASP calculation (PBE) on an optimized crystal structure of Pm3Cd2Ag3.

abc: 3.7674 5.2506 20.3349
angles: 90.00 90.00 90.00
Space group Immm (No. 71)
Asymmetric unit:
Pm 0.0000 0.0000 0.0000 [2 per cell]
Pm 0.0000 0.5000 0.1309 [4 per cell]
Cd 0.0000 0.0000 0.2360 [4 per cell]
Ag 0.0000 0.0000 0.5000 [2 per cell]
Ag 0.0000 0.5000 0.3757 [4 per cell]

- energy relative to the lowest polymorph listed for this composition (meV/atom) = 0
- formation energy from the elements (meV per atom) = -237

=====

VASP calculation (PBE) on an optimized crystal structure of RbCdF2.

abc: 6.7484 6.7484 6.7484
angles: 90.00 90.00 90.00
Space group Fm-3m (No. 225)
Asymmetric unit:
Rb 0.0000 0.0000 0.0000 [4 per cell]
Cd 0.0000 0.0000 0.5000 [4 per cell]
F 0.2500 0.2500 0.2500 [8 per cell]

- energy relative to the lowest polymorph listed for this composition (meV/atom) = 249
- uncorrected formation energy (meV/atom) = -1679

=====

VASP calculation (PBE) on an optimized crystal structure of Sm6ErSc4.

abc: 10.6595 10.6595 3.4512
angles: 90.00 90.00 120.00
Space group P-6m2 (No. 187)
Asymmetric unit:
Sm 0.1827 0.3654 0.0000 [3 per cell]
Sm 0.5289 0.0578 0.5000 [3 per cell]
Er 0.0000 0.0000 0.5000 [1 per cell]
Sc 0.3124 0.1562 0.0000 [3 per cell]
Sc 0.3333 0.6667 0.5000 [1 per cell]

- formation energy from the elements (meV per atom) = 155

=====

VASP calculation (PBE) on an optimized crystal structure of YGa3Ni2.

abc: 5.2561 5.2561 3.9789
angles: 90.00 90.00 120.00
Space group P6/mmm (No. 191)
Asymmetric unit:
Y 0.0000 0.0000 0.0000 [1 per cell]
Ga 0.0000 0.5000 0.5000 [3 per cell]
Ni 0.3333 0.6667 0.0000 [2 per cell]

- formation energy from the elements (meV per atom) = -571

=====

VASP calculation (PBE) on an optimized crystal structure of VAgAs2Br.

abc: 4.6118 4.6118 5.8860
angles: 90.00 90.00 90.00
Space group P4/mmm (No. 123)
Asymmetric unit:
V 0.0000 0.0000 0.0000 [1 per cell]
Ag 0.0000 0.0000 0.5000 [1 per cell]
As 0.0000 0.5000 0.0000 [2 per cell]
Br 0.5000 0.5000 0.5000 [1 per cell]

- energy relative to the lowest polymorph listed for this composition (meV/atom) = 111
- uncorrected formation energy (meV/atom) = 362

=====

VASP calculation (PBE) on an optimized crystal structure of YSc2Rh.

abc: 5.9600 10.0522 3.1887
angles: 90.00 115.20 90.00
Space group C2/m (No. 12)
Asymmetric unit:
Y 0.0000 0.0000 0.0000 [2 per cell]
Sc 0.2500 0.2500 0.5000 [4 per cell]
Rh 0.0000 0.5000 0.0000 [2 per cell]

- energy relative to the lowest polymorph listed for this composition (meV/atom) = 405
- formation energy from the elements (meV per atom) = -119

=====

VASP calculation (PBE) on an optimized crystal structure of PmCo3Ge2.

abc: 15.0330 3.8769 7.1567
angles: 90.00 115.55 90.00
Space group C2/m (No. 12)
Asymmetric unit:
Pm 0.1498 0.0000 0.0664 [4 per cell]
Co 0.0364 0.0000 0.3829 [4 per cell]
Co 0.0840 0.5000 0.6430 [4 per cell]
Co 0.1865 0.5000 0.4520 [4 per cell]
Ge 0.0234 0.5000 0.1941 [4 per cell]
Ge 0.1896 0.0000 0.6740 [4 per cell]

- energy relative to the lowest polymorph listed for this composition (meV/atom) = 24
- formation energy from the elements (meV per atom) = -423

=====

VASP calculation (PBE) on an optimized crystal structure of TaHgCl2.

abc: 7.0046 7.0046 11.8336
angles: 90.00 90.00 90.00
Space group I-42d (No. 122)
Asymmetric unit:
Ta 0.0000 0.0000 0.0000 [4 per cell]
Hg 0.0000 0.0000 0.5000 [4 per cell]
Cl 0.0508 0.2500 0.1250 [8 per cell]

- energy relative to the lowest polymorph listed for this composition (meV/atom) = 659
- uncorrected formation energy (meV/atom) = 81

=====

VASP calculation (PBE) on an optimized crystal structure of Rb2PAuF.

abc: 6.5899 6.5899 4.4451
angles: 90.00 90.00 90.00
Space group P4/mmm (No. 123)
Asymmetric unit:
Rb 0.0000 0.5000 0.0000 [2 per cell]
P 0.0000 0.0000 0.5000 [1 per cell]
Au 0.0000 0.0000 0.0000 [1 per cell]
F 0.5000 0.5000 0.5000 [1 per cell]

- uncorrected formation energy (meV/atom) = -810

=====

VASP calculation (PBE) on an optimized crystal structure of CuAu2Cl.

abc: 3.2029 4.1969 6.1783
angles: 90.00 90.00 90.00
Space group Pmmm (No. 47)
Asymmetric unit:
Cu 0.0000 0.0000 0.0000 [1 per cell]
Au 0.0000 0.5000 0.5000 [1 per cell]
Au 0.5000 0.0000 0.5000 [1 per cell]
Cl 0.5000 0.5000 0.0000 [1 per cell]

- energy relative to the lowest polymorph listed for this composition (meV/atom) = 256
- uncorrected formation energy (meV/atom) = 220